Entry 1:
GGA-PBE LaLuAlCu, relaxed; electronic total energy = -4.56 eV per atom; total magnetic moment = 0.00 μB per cell; volume = 95.7 Å³/cell; formation enthalpy at 0 K = -0.95 eV/f.u.; crystal system = cubic
1.0
-1.816 -3.914 -2.784
3.241 -3.054 -2.556
0.751 -4.831 1.567
Al Cu La Lu
1 1 1 1
direct
0.750 0.750 0.750
0.250 0.250 0.250
0.000 0.000 0.000
0.500 0.500 0.500

***

Entry 2:
GGA-PBE LaMgAl2Cu4, relaxed; electronic total energy = -4.03 eV per atom; total magnetic moment = 0.00 μB per cell; volume = 139.9 Å³/cell; formation enthalpy at 0 K = -1.88 eV/f.u.; crystal system = trigonal
1.0
-0.799 2.146 3.574
0.541 -1.877 3.769
8.414 2.929 2.642
Al Cu Mg La
2 4 1 1
direct
0.760 0.760 0.719
0.240 0.240 0.281
0.594 0.594 0.218
0.119 0.119 0.643
0.406 0.406 0.782
0.881 0.881 0.357
0.500 0.500 0.500
0.000 0.000 0.000

***

Entry 3:
GGA-PBE LaMgAlCu, relaxed; electronic total energy = -3.81 eV per atom; total magnetic moment = 0.00 μB per cell; volume = 87.2 Å³/cell; formation enthalpy at 0 K = -0.88 eV/f.u.; crystal system = cubic
1.0
-3.462 1.304 3.329
-2.010 -3.444 2.978
1.083 -0.028 4.857
Cu Al Mg La
1 1 1 1
direct
0.250 0.250 0.250
0.750 0.750 0.750
0.500 0.500 0.500
0.000 0.000 0.000

***

Entry 4:
GGA-PBE La2MgAl3Cu4, relaxed; electronic total energy = -4.23 eV per atom; total magnetic moment = 0.00 μB per cell; volume = 195.0 Å³/cell; formation enthalpy at 0 K = -3.25 eV/f.u.; crystal system = tetragonal
1.0
-1.909 1.369 -3.719
-3.920 -1.262 1.548
-1.340 9.127 4.048
La Al Cu Mg
2 3 4 1
direct
0.000 0.500 0.765
0.500 0.000 0.235
0.000 0.500 0.123
0.000 0.000 0.500
0.500 0.000 0.877
0.500 0.000 0.635
0.000 0.000 0.000
0.000 0.500 0.365
0.500 0.500 0.000
0.500 0.500 0.500

***

Entry 5:
GGA-PBE LaMgAlCu2, relaxed; electronic total energy = -3.95 eV per atom; total magnetic moment = 0.00 μB per cell; volume = 100.0 Å³/cell; formation enthalpy at 0 K = -1.28 eV/f.u.; crystal system = tetragonal
1.0
-1.715 3.388 -1.722
-3.779 -1.321 1.166
3.301 1.782 5.265
La Mg Al Cu
1 1 1 2
direct
0.000 0.000 0.000
0.250 0.750 0.500
0.750 0.250 0.500
0.390 0.390 0.781
0.610 0.610 0.219

***

Entry 6:
GGA-PBE LaNdAlCu, relaxed; electronic total energy = -4.59 eV per atom; total magnetic moment = 0.00 μB per cell; volume = 102.9 Å³/cell; formation enthalpy at 0 K = -0.81 eV/f.u.; crystal system = cubic
1.0
-2.639 2.394 -3.871
-1.820 -2.799 -4.065
-5.172 -0.796 -0.541
La Cu Al Nd
1 1 1 1
direct
0.500 0.500 0.500
0.250 0.250 0.250
0.750 0.750 0.750
0.000 0.000 0.000

***

Entry 7:
GGA-PBE La2Nd2Al4Cu, relaxed; electronic total energy = -4.51 eV per atom; total magnetic moment = 0.00 μB per cell; volume = 232.3 Å³/cell; formation enthalpy at 0 K = -2.09 eV/f.u.; crystal system = tetragonal
1.0
-3.278 5.569 2.039
0.541 -4.932 4.615
6.606 0.797 -1.279
Al La Nd Cu
4 2 2 1
direct
0.538 0.769 0.769
0.462 0.231 0.231
0.000 0.769 0.231
0.000 0.231 0.769
0.500 0.750 0.250
0.500 0.250 0.750
0.000 0.314 0.314
0.000 0.686 0.686
0.000 0.000 0.000

***

Entry 8:
GGA-PBE La2AlCu6Ni, relaxed; electronic total energy = -4.56 eV per atom; total magnetic moment = 0.00 μB per cell; volume = 176.2 Å³/cell; formation enthalpy at 0 K = -1.61 eV/f.u.; crystal system = triclinic
1.0
-1.262 0.776 -6.034
2.437 -5.793 -1.302
-3.318 -4.421 -2.847
Cu La Al Ni
6 2 1 1
direct
0.183 0.663 0.222
0.113 0.179 0.483
0.817 0.337 0.778
0.663 0.883 0.937
0.337 0.117 0.063
0.887 0.821 0.517
0.677 0.319 0.363
0.323 0.681 0.637
0.000 0.000 0.000
0.500 0.500 0.000

***

Entry 9:
GGA-PBE LaAlCu2Ni2, relaxed; electronic total energy = -4.62 eV per atom; total magnetic moment = 0.00 μB per cell; volume = 108.5 Å³/cell; formation enthalpy at 0 K = 0.69 eV/f.u.; crystal system = tetragonal
1.0
4.340 0.000 0.000
0.000 4.340 0.000
0.000 0.000 5.761
Cu La Ni Al
2 1 2 1
direct
0.500 0.500 0.237
0.500 0.500 0.763
0.000 0.000 0.500
0.000 0.500 0.000
0.500 0.000 0.000
0.000 0.000 0.000

***

Entry 10:
GGA-PBE LaAlCuNi6, relaxed; electronic total energy = -5.12 eV per atom; total magnetic moment = 0.24 μB per cell; volume = 264.7 Å³/cell; formation enthalpy at 0 K = 1.37 eV/f.u.; crystal system = orthorhombic
1.0
6.403 0.000 0.000
0.000 8.668 0.000
-3.201 -4.334 4.770
Ni Cu La Al
12 2 2 2
direct
0.942 0.643 0.256
0.313 0.113 0.256
0.687 0.887 0.744
0.058 0.357 0.744
0.313 0.643 0.256
0.058 0.887 0.744
0.942 0.113 0.256
0.426 0.176 0.853
0.574 0.824 0.147
0.687 0.357 0.744
0.978 0.228 0.957
0.022 0.772 0.043
0.000 0.000 0.500
0.500 0.000 0.500
0.265 0.515 0.531
0.735 0.485 0.469
0.500 0.000 0.000
0.500 0.500 0.000

***

Entry 11:
GGA-PBE La2Al3CuNi12, relaxed; electronic total energy = -5.27 eV per atom; total magnetic moment = 0.00 μB per cell; volume = 273.0 Å³/cell; formation enthalpy at 0 K = -0.39 eV/f.u.; crystal system = trigonal
1.0
8.935 1.670 1.184
5.864 6.945 1.184
5.864 3.414 6.163
Al Ni Cu La
3 12 1 2
direct
0.000 0.500 0.000
0.000 0.000 0.500
0.500 0.000 0.000
0.063 0.655 0.063
0.063 0.063 0.655
0.189 0.581 0.581
0.937 0.937 0.345
0.581 0.189 0.581
0.811 0.419 0.419
0.419 0.419 0.811
0.419 0.811 0.419
0.345 0.937 0.937
0.581 0.581 0.189
0.655 0.063 0.063
0.937 0.345 0.937
0.000 0.000 0.000
0.339 0.339 0.339
0.661 0.661 0.661

***

Entry 12:
GGA-PBE LaAl6CuNi, relaxed; electronic total energy = -4.31 eV per atom; total magnetic moment = 0.00 μB per cell; volume = 337.2 Å³/cell; formation enthalpy at 0 K = -1.49 eV/f.u.; crystal system = orthorhombic
1.0
8.717 0.000 0.000
0.000 6.612 0.000
-4.358 -3.306 5.850
Al Cu Ni La
12 2 2 2
direct
0.401 0.582 0.258
0.401 0.175 0.258
0.770 0.520 0.541
0.144 0.825 0.742
0.599 0.418 0.742
0.335 0.085 0.671
0.230 0.480 0.459
0.856 0.175 0.258
0.665 0.915 0.329
0.599 0.825 0.742
0.856 0.582 0.258
0.144 0.418 0.742
0.500 0.000 0.000
0.500 0.500 0.000
0.500 0.000 0.500
0.000 0.000 0.500
0.053 0.803 0.106
0.947 0.197 0.894

***

Entry 13:
GGA-PBE La4Al3CuO12, relaxed; electronic total energy = -7.65 eV per atom; total magnetic moment = 2.00 μB per cell; volume = 224.9 Å³/cell; uncorrected formation energy = -2.924 eV per atom; crystal system = cubic
1.0
-0.259 2.097 -6.291
-5.170 -3.977 1.221
-0.217 5.226 4.084
O Al La Cu
12 3 4 1
direct
0.750 0.500 0.250
0.750 0.250 0.500
0.000 0.256 0.256
0.256 0.000 0.256
0.000 0.744 0.744
0.250 0.750 0.500
0.256 0.256 0.000
0.250 0.500 0.750
0.500 0.750 0.250
0.744 0.000 0.744
0.744 0.744 0.000
0.500 0.250 0.750
0.500 0.000 0.500
0.500 0.500 0.000
0.000 0.500 0.500
0.000 0.000 0.500
0.000 0.500 0.000
0.500 0.500 0.500
0.500 0.000 0.000
0.000 0.000 0.000

***

Entry 14:
GGA-PBE LaAl2CuO, relaxed; electronic total energy = -3.98 eV per atom; total magnetic moment = 0.00 μB per cell; volume = 160.1 Å³/cell; uncorrected formation energy = 0.311 eV per atom; crystal system = tetragonal
1.0
-4.270 3.156 -3.086
0.567 -2.524 -3.365
-4.338 -3.798 2.118
Cu Al O La
1 2 1 1
direct
0.500 0.500 0.500
0.000 0.000 0.500
0.500 0.000 0.000
0.000 0.500 0.000
0.000 0.000 0.000

***

Entry 15:
GGA-PBE SrLaAlCuO5, relaxed; electronic total energy = -6.94 eV per atom; total magnetic moment = 0.09 μB per cell; volume = 490.3 Å³/cell; uncorrected formation energy = -2.579 eV per atom; crystal system = orthorhombic
1.0
-1.166 -4.277 -3.224
7.351 -3.038 1.371
-3.922 -5.536 8.763
Sr O Al La Cu
4 20 4 4 4
direct
0.250 0.260 0.406
0.750 0.740 0.594
0.750 0.260 0.094
0.250 0.740 0.906
0.750 0.377 0.476
0.000 0.572 0.750
0.500 0.025 0.250
0.000 0.428 0.250
0.000 0.025 0.250
0.500 0.000 0.000
0.500 0.572 0.750
0.750 0.710 0.353
0.500 0.000 0.500
0.500 0.428 0.250
0.250 0.623 0.524
0.000 0.975 0.750
0.000 0.000 0.500
0.500 0.975 0.750
0.250 0.710 0.147
0.250 0.290 0.647
0.000 0.000 0.000
0.750 0.290 0.853
0.250 0.377 0.024
0.750 0.623 0.976
0.250 0.490 0.159
0.750 0.490 0.341
0.250 0.510 0.659
0.750 0.510 0.841
0.250 0.191 0.866
0.750 0.809 0.134
0.250 0.809 0.366
0.750 0.191 0.634
0.250 0.977 0.627
0.750 0.977 0.873
0.750 0.023 0.373
0.250 0.023 0.127

***

Entry 16:
GGA-PBE La2AlCuPb, relaxed; electronic total energy = -4.52 eV per atom; total magnetic moment = 0.00 μB per cell; volume = 144.7 Å³/cell; formation enthalpy at 0 K = -1.22 eV/f.u.; crystal system = tetragonal
1.0
-1.327 -5.420 0.058
4.798 -1.147 2.607
-2.099 0.558 4.109
La Al Cu Pb
2 1 1 1
direct
0.500 0.000 0.000
0.000 0.500 0.000
0.000 0.000 0.500
0.000 0.000 0.000
0.500 0.500 0.500

***

Entry 17:
GGA-PBE La3AlCu2Pd9, relaxed; electronic total energy = -5.33 eV per atom; total magnetic moment = 0.00 μB per cell; volume = 310.7 Å³/cell; formation enthalpy at 0 K = -6.49 eV/f.u.; crystal system = trigonal
1.0
-0.317 -1.699 -7.282
5.391 -2.920 4.292
-3.771 -5.004 1.332
Pd La Cu Al
9 3 2 1
direct
0.837 0.163 0.670
0.000 0.500 0.000
0.674 0.837 0.330
0.163 0.326 0.330
0.837 0.674 0.670
0.326 0.163 0.670
0.500 0.000 0.000
0.500 0.500 0.000
0.163 0.837 0.330
0.667 0.333 0.326
0.000 0.000 0.000
0.333 0.667 0.674
0.667 0.333 0.828
0.333 0.667 0.172
0.000 0.000 0.500

***

Entry 18:
GGA-PBE La2Al4Cu3Pd, relaxed; electronic total energy = -4.74 eV per atom; total magnetic moment = 0.00 μB per cell; volume = 191.9 Å³/cell; formation enthalpy at 0 K = -5.08 eV/f.u.; crystal system = tetragonal
1.0
4.334 0.000 0.000
0.000 4.334 0.000
0.000 0.000 10.216
Al Pd La Cu
4 1 2 3
direct
0.500 0.000 0.626
0.000 0.000 0.000
0.500 0.500 0.000
0.000 0.500 0.374
0.500 0.500 0.500
0.000 0.500 0.749
0.500 0.000 0.251
0.500 0.000 0.870
0.000 0.000 0.500
0.000 0.500 0.130

***

Entry 19:
GGA-PBE LaAlCuPd, relaxed; electronic total energy = -5.09 eV per atom; total magnetic moment = 0.00 μB per cell; volume = 83.1 Å³/cell; formation enthalpy at 0 K = -2.41 eV/f.u.; crystal system = trigonal; energy above the most stable polymorph in this dataset = 0 meV/atom
1.0
-0.828 3.136 2.972
-2.419 -0.246 -3.670
-1.297 -3.898 3.751
Pd Al Cu La
1 1 1 1
direct
0.415 0.830 0.888
0.116 0.233 0.991
0.818 0.636 0.097
0.617 0.233 0.492

***

Entry 20:
GGA-PBE LaAl6CuPd, relaxed; electronic total energy = -4.30 eV per atom; total magnetic moment = 0.00 μB per cell; volume = 353.7 Å³/cell; formation enthalpy at 0 K = -2.03 eV/f.u.; crystal system = orthorhombic
1.0
-2.865 -7.813 2.514
2.457 -2.765 -5.793
5.377 4.256 4.326
Pd Cu Al La
2 2 12 2
direct
0.500 0.000 0.500
0.000 0.000 0.500
0.500 0.500 0.000
0.500 0.000 0.000
0.350 0.100 0.700
0.854 0.182 0.254
0.146 0.429 0.746
0.854 0.571 0.254
0.601 0.818 0.746
0.399 0.571 0.254
0.650 0.900 0.300
0.601 0.429 0.746
0.399 0.182 0.254
0.146 0.818 0.746
0.770 0.520 0.541
0.230 0.480 0.459
0.051 0.801 0.102
0.949 0.199 0.898